[1]
# Ba2CeAg PBE relaxed
# * ΔE_f: 34 kJ per mole of atoms
# * crystal system: trigonal
data_Ba2CeAg
_chemical_formula_sum 'Ba6 Ce3 Ag3'
_space_group_name_H-M_alt 'R -3 m'
_space_group_IT_number 166
_space_group_name_Hall '-R 3 2"'
_cell_length_a 3.9534
_cell_length_b 3.9534
_cell_length_c 36.9918
_cell_angle_alpha 90.00
_cell_angle_beta 90.00
_cell_angle_gamma 120.00
loop_
_atom_site_label
_atom_site_type_symbol
_atom_site_fract_x
_atom_site_fract_y
_atom_site_fract_z
Ba1 Ba 0.0000 0.0000 0.1000
Ce1 Ce 0.0000 0.0000 0.0000
Ag1 Ag 0.0000 0.0000 0.5000

***

[2]
# In2O3 PBE relaxed
# * energy relative to the elements, uncorrected: -1.541 eV/atom
# * crystal system: orthorhombic
data_In2O3
_chemical_formula_sum 'In16 O24'
_space_group_name_H-M_alt 'P b c a'
_space_group_IT_number 61
_space_group_name_Hall '-P 2ac 2ab'
_cell_length_a 5.589
_cell_length_b 5.779
_cell_length_c 16.168
_cell_angle_alpha 90.00
_cell_angle_beta 90.00
_cell_angle_gamma 90.00
loop_
_atom_site_label
_atom_site_type_symbol
_atom_site_fract_x
_atom_site_fract_y
_atom_site_fract_z
In1 In 0.000 0.202 0.071
In2 In 0.003 0.244 0.818
O1 O 0.141 0.122 0.202
O2 O 0.147 0.659 0.552
O3 O 0.207 0.526 0.875